Record 1
VASP calculation (GGA-PBE) on HoHgPb after structural relaxation.

The structure belongs to space group P3m1 (No. 156); the cell edges are 4.9970, 4.9970 and 3.7366 Å and the angles 90.00°, 90.00° and 120.00°. The inequivalent atoms are Ho at (0.0000, 0.0000, 0.0000), Hg at (0.6667, 0.3333, 0.2875) and Pb at (0.3333, 0.6667, 0.5902).

As for the formation energy: -0.321 eV/atom. The calculation puts the total energy at -3.183 eV per atom. Its magnetization is 0.000 μB per atom. As for the crystal system: trigonal.


Record 2
VASP calculation (GGA-PBE) on Ho3Hg2Pb after structural relaxation.

The structure belongs to space group P4/mmm (No. 123); the cell edges are 3.7052, 3.7052 and 11.4990 Å and the angles 90.00°, 90.00° and 90.00°. The inequivalent atoms are Ho at (0.0000, 0.0000, 0.0000), Ho at (0.0000, 0.0000, 0.3192), Hg at (0.5000, 0.5000, 0.1559) and Pb at (0.5000, 0.5000, 0.5000).

As for the formation energy: -0.457 eV/atom. The calculation puts the total energy at -3.465 eV per atom. Its magnetization is 0.000 μB per atom. As for the crystal system: tetragonal.


Record 3
VASP calculation (GGA-PBE) on Ho5Hg6Pb after structural relaxation.

The structure belongs to space group Cmmm (No. 65); the cell edges are 5.2179, 15.6060 and 7.5118 Å and the angles 90.00°, 90.00° and 90.00°. The inequivalent atoms are Ho at (0.0000, 0.0000, 0.0000), Ho at (0.0000, 0.3287, 0.0000), Ho at (0.0000, 0.3461, 0.5000), Hg at (0.0000, 0.1733, 0.2545), Hg at (0.0000, 0.5000, 0.2272) and Pb at (0.0000, 0.0000, 0.5000).

As for the formation energy: -0.422 eV/atom. The calculation puts the total energy at -2.789 eV per atom. Its magnetization is 0.000 μB per atom. As for the crystal system: orthorhombic.


Record 4
VASP calculation (GGA-PBE) on HoHg6Pb after structural relaxation.

The structure belongs to space group R-3m (No. 166, hexagonal axes); the cell edges are 6.2657, 6.2657 and 23.4773 Å and the angles 90.00°, 90.00° and 120.00°. The inequivalent atoms are Ho at (0.0000, 0.0000, 0.0000), Hg at (0.0114, 0.5057, 0.4336) and Pb at (0.0000, 0.0000, 0.5000).

The energy above the most stable polymorph in this dataset is 250 meV per atom. As for the formation energy: 0.108 eV/atom. The calculation puts the total energy at -1.154 eV per atom. Its magnetization is 0.000 μB per atom. As for the crystal system: trigonal.


Record 5
VASP calculation (GGA-PBE) on Ho5HgPb4 after structural relaxation.

The structure belongs to space group I4 (No. 79); the cell edges are 9.7800, 9.7800 and 6.2914 Å and the angles 90.00°, 90.00° and 90.00°. The inequivalent atoms are Ho at (0.0000, 0.0000, 0.0000), Ho at (0.0954, 0.3104, 0.6539), Hg at (0.0000, 0.0000, 0.5014) and Pb at (0.1033, 0.2867, 0.1570).

As for the formation energy: -0.315 eV/atom. The calculation puts the total energy at -4.118 eV per atom. Its magnetization is 0.000 μB per atom. As for the crystal system: tetragonal.


Record 6
VASP calculation (GGA-PBE) on Ho5Hg4Pb after structural relaxation.

The structure belongs to space group P4/mmm (No. 123); the cell edges are 3.7188, 3.7188 and 18.7546 Å and the angles 90.00°, 90.00° and 90.00°. The inequivalent atoms are Ho at (0.0000, 0.0000, 0.0000), Ho at (0.0000, 0.0000, 0.1960), Ho at (0.0000, 0.0000, 0.3913), Hg at (0.5000, 0.5000, 0.0997), Hg at (0.5000, 0.5000, 0.2918) and Pb at (0.5000, 0.5000, 0.5000).

As for the formation energy: -0.467 eV/atom. The calculation puts the total energy at -3.247 eV per atom. Its magnetization is 0.000 μB per atom. As for the crystal system: tetragonal.


Record 7
VASP calculation (GGA-PBE) on Ho2Hg8Pb after structural relaxation.

The structure belongs to space group C2/m (No. 12); the cell edges are 17.4033, 4.6804 and 7.2927 Å and the angles 90.00°, 109.36° and 90.00°. The inequivalent atoms are Ho at (0.2183, 0.0000, 0.1701), Hg at (0.0411, 0.0000, 0.2150), Hg at (0.1072, 0.5000, 0.9432), Hg at (0.1528, 0.0000, 0.7034), Hg at (0.1673, 0.5000, 0.4021) and Pb at (0.0000, 0.5000, 0.5000).

As for the formation energy: -0.197 eV/atom. The calculation puts the total energy at -1.586 eV per atom. Its magnetization is 0.000 μB per atom. As for the crystal system: monoclinic.


Record 8
VASP calculation (GGA-PBE) on HoHg6Pb after structural relaxation.

The structure belongs to space group P4/mmm (No. 123); the cell edges are 4.6862, 4.6862 and 9.2641 Å and the angles 90.00°, 90.00° and 90.00°. The inequivalent atoms are Ho at (0.0000, 0.0000, 0.0000), Hg at (0.0000, 0.5000, 0.2401), Hg at (0.5000, 0.5000, 0.0000), Hg at (0.5000, 0.5000, 0.5000) and Pb at (0.0000, 0.0000, 0.5000).

The energy above the most stable polymorph in this dataset is 0 meV per atom. As for the formation energy: -0.142 eV/atom. The calculation puts the total energy at -1.404 eV per atom. Its magnetization is 0.000 μB per atom. As for the crystal system: tetragonal.